Record 1
Zr2AlNi | PBE | optimized geometry

The space group is P-6m2 (No. 187) and the conventional cell measures 3.1865, 3.1865 and 8.6729 Å, with angles of 90.00, 90.00 and 120.00 degrees. The asymmetric unit holds Zr at (0.0000, 0.0000, 0.2235), Al at (0.6667, 0.3333, 0.5000) and Ni at (0.6667, 0.3333, 0.0000).

The density of states at the Fermi level is 5.878 states/eV/cell. The calculation puts the magnetic moment at 0.0 μB/cell. As for the electronic total energy: -6.795 eV per atom.

Record 2
ZrAl2Ni | PBE | optimized geometry

The space group is I4/mmm (No. 139) and the conventional cell measures 4.007, 4.007 and 8.134 Å, with angles of 90.00, 90.00 and 90.00 degrees. The asymmetric unit holds Zr at (0.000, 0.000, 0.000), Al at (0.000, 0.500, 0.250) and Ni at (0.000, 0.000, 0.500).

The density of states at the Fermi level is 7.860 states/eV/cell. The calculation puts the magnetic moment at 0.0 μB/cell. As for the electronic total energy: -5.662 eV per atom.